Here is a relaxed structure of Pr2Ga4PdRh3 from Alexandria. Energies are from PBE.

Geometry as POSCAR:
```
Pr2Ga4PdRh3
1.0
4.306 0.000 0.000
0.000 4.306 0.000
0.000 0.000 10.269
Pr Ga Pd Rh
2 4 1 3
Direct
0.000 0.500 0.247
0.500 0.000 0.753
0.000 0.000 0.500
0.000 0.500 0.870
0.500 0.000 0.130
0.500 0.500 0.500
0.500 0.500 0.000
0.000 0.000 0.000
0.000 0.500 0.628
0.500 0.000 0.372
```

Properties
- Energy of formation: -0.80 eV per atom
- Calculated volume: 19.04 A^3/atom
- Total magnetic moment: 0.0 μB per cell
- Total energy: -5.687 eV per atom

Here is a relaxed structure of Pm12Co2Ge5 from Alexandria. Energies are from PBE.

Geometry as POSCAR:
```
Pm12Co2Ge5
1.0
8.372 -3.724 0.000
8.372 3.724 0.000
-2.590 0.000 9.095
Pm Co Ge
12 2 5
Direct
0.002 0.002 0.247
0.072 0.604 0.919
0.105 0.592 0.424
0.396 0.928 0.081
0.408 0.895 0.576
0.496 0.496 0.181
0.504 0.504 0.819
0.592 0.105 0.424
0.604 0.072 0.919
0.895 0.408 0.576
0.928 0.396 0.081
0.998 0.998 0.753
0.196 0.804 0.000
0.804 0.196 0.000
0.190 0.190 0.828
0.194 0.194 0.362
0.500 0.500 0.500
0.806 0.806 0.638
0.810 0.810 0.172
```

Properties
- Energy of formation: -0.40 eV per atom
- Calculated volume: 29.85 A^3/atom
- Total magnetic moment: 0.0 μB per cell
- Total energy: -5.364 eV per atom